First-principles (GGA-PBE) data for HoTmSiPd after structural relaxation, as listed in Alexandria via LeMat-Bulk.

Structure (CIF):
```
data_HoTmSiPd
_chemical_formula_sum 'Ho2 Tm2 Si2 Pd2'
_space_group_name_H-M_alt 'A m m 2'
_space_group_IT_number 38
_space_group_name_Hall 'A 2 -2'
_cell_length_a 4.220
_cell_length_b 3.884
_cell_length_c 10.687
_cell_angle_alpha 90.00
_cell_angle_beta 90.00
_cell_angle_gamma 90.00
loop_
_atom_site_label
_atom_site_fract_x
_atom_site_fract_y
_atom_site_fract_z
_atom_site_occupancy
Ho1 0.000 0.000 0.000 1
Tm1 0.500 0.000 0.282 1
Si1 0.000 0.000 0.721 1
Pd1 0.500 0.000 0.567 1
```

**ΔE to the lowest computed polymorph**: 0.0 meV per atom
**D(E_F)**: 3.84 states/eV per cell
**Formation energy (no corrections)**: -854 meV/atom

***

First-principles (GGA-PBE) data for MgSn3F after structural relaxation, as listed in Alexandria via LeMat-Bulk.

Structure (CIF):
```
data_MgSn3F
_chemical_formula_sum 'Mg1 Sn3 F1'
_space_group_name_H-M_alt 'P m -3 m'
_space_group_IT_number 221
_space_group_name_Hall '-P 4 2 3'
_cell_length_a 5.381
_cell_length_b 5.381
_cell_length_c 5.381
_cell_angle_alpha 90.00
_cell_angle_beta 90.00
_cell_angle_gamma 90.00
loop_
_atom_site_label
_atom_site_fract_x
_atom_site_fract_y
_atom_site_fract_z
_atom_site_occupancy
Mg1 0.000 0.000 0.000 1
Sn1 0.000 0.000 0.500 1
F1 0.500 0.500 0.500 1
```

**ΔE to the lowest computed polymorph**: 547.9 meV per atom
**D(E_F)**: 4.65 states/eV per cell
**Formation energy (no corrections)**: 168 meV/atom